Record 1
The following is a DFT calculation (PBE with a Hubbard U) of TiCrP3O12 after structural relaxation.

abc: 8.8134 8.8134 8.8134
angles: 58.51 58.51 58.51
Last column: nearest neighbours and their distance in Å.
Fractional positions:
Ti1 0.0000 0.0000 0.0000  6 O 1.94
Ti2 0.5000 0.5000 0.5000  6 O 1.94
Cr1 0.2837 0.2837 0.2837  6 O 1.94
Cr2 0.7837 0.7837 0.7837  6 O 1.94
P1 0.1051 0.3958 0.6717  4 O 1.53-1.54
P2 0.1717 0.8958 0.6051  4 O 1.53-1.54
P3 0.3958 0.6717 0.1051  4 O 1.53-1.54
P4 0.6051 0.1717 0.8958  4 O 1.53-1.54
P5 0.6717 0.1051 0.3958  4 O 1.53-1.54
P6 0.8958 0.6051 0.1717  4 O 1.53-1.54
O1 0.0015 0.8654 0.6316  1 P 1.54
O2 0.0670 0.4224 0.2005  1 P 1.54
O3 0.0770 0.2217 0.8519  1 P 1.54
O4 0.1316 0.3654 0.5015  1 P 1.54
O5 0.1415 0.9261 0.7766  1 P 1.53
O6 0.2005 0.0670 0.4224  1 P 1.54
O7 0.2217 0.8519 0.0770  1 P 1.54
O8 0.2766 0.4261 0.6415  1 P 1.53
O9 0.3519 0.7217 0.5770  1 P 1.54
O10 0.3654 0.5015 0.1316  1 P 1.54
O11 0.4224 0.2005 0.0670  1 P 1.54
O12 0.4261 0.6415 0.2766  1 P 1.53
O13 0.5015 0.1316 0.3654  1 P 1.54
O14 0.5670 0.7005 0.9224  1 P 1.54
O15 0.5770 0.3519 0.7217  1 P 1.54
O16 0.6316 0.0015 0.8654  1 P 1.54
O17 0.6415 0.2766 0.4261  1 P 1.53
O18 0.7005 0.9224 0.5670  1 P 1.54
O19 0.7217 0.5770 0.3519  1 P 1.54
O20 0.7766 0.1415 0.9261  1 P 1.53
O21 0.8519 0.0770 0.2217  1 P 1.54
O22 0.8654 0.6316 0.0015  1 P 1.54
O23 0.9224 0.5670 0.7005  1 P 1.54
O24 0.9261 0.7766 0.1415  1 P 1.53

Calculated values
**Total energy**: -7.482 eV/atom
**Density of states at the Fermi level**: 9.53 states/eV/f.u.
**Magnetic moment**: 0.92 μB/f.u.

---

Record 2
The following is a DFT calculation (PBE with a Hubbard U) of Ti2CrP3O12 after structural relaxation.

abc: 8.7230 8.7230 8.7230
angles: 59.44 59.44 59.44
Last column: nearest neighbours and their distance in Å.
Fractional positions:
Ti1 0.1446 0.1446 0.1446  6 O 1.92-2.05
Ti2 0.3554 0.3554 0.3554  6 O 1.92-2.05
Ti3 0.6446 0.6446 0.6446  6 O 1.92-2.05
Ti4 0.8554 0.8554 0.8554  6 O 1.92-2.05
Cr1 0.0000 0.0000 0.0000  6 O 2.31
Cr2 0.5000 0.5000 0.5000  6 O 2.31
P1 0.0414 0.7500 0.4586  4 O 1.54-1.55
P2 0.2500 0.5414 0.9586  4 O 1.54-1.55
P3 0.4586 0.0414 0.7500  4 O 1.54-1.55
P4 0.5414 0.9586 0.2500  4 O 1.54-1.55
P5 0.7500 0.4586 0.0414  4 O 1.54-1.55
P6 0.9586 0.2500 0.5414  4 O 1.54-1.55
O1 0.0008 0.8056 0.6207  1 P 1.54
O2 0.0582 0.9164 0.2680  1 P 1.55
O3 0.0836 0.7320 0.9418  1 P 1.55
O4 0.1207 0.3056 0.5008  1 P 1.54
O5 0.1944 0.3793 0.9992  1 P 1.54
O6 0.2320 0.5836 0.4418  1 P 1.55
O7 0.2680 0.0582 0.9164  1 P 1.55
O8 0.3056 0.5008 0.1207  1 P 1.54
O9 0.3793 0.9992 0.1944  1 P 1.54
O10 0.4164 0.5582 0.7680  1 P 1.55
O11 0.4418 0.2320 0.5836  1 P 1.55
O12 0.4992 0.8793 0.6944  1 P 1.54
O13 0.5008 0.1207 0.3056  1 P 1.54
O14 0.5582 0.7680 0.4164  1 P 1.55
O15 0.5836 0.4418 0.2320  1 P 1.55
O16 0.6207 0.0008 0.8056  1 P 1.54
O17 0.6944 0.4992 0.8793  1 P 1.54
O18 0.7320 0.9418 0.0836  1 P 1.55
O19 0.7680 0.4164 0.5582  1 P 1.55
O20 0.8056 0.6207 0.0008  1 P 1.54
O21 0.8793 0.6944 0.4992  1 P 1.54
O22 0.9164 0.2680 0.0582  1 P 1.55
O23 0.9418 0.0836 0.7320  1 P 1.55
O24 0.9992 0.1944 0.3793  1 P 1.54

Calculated values
**Total energy**: -7.908 eV/atom
**Density of states at the Fermi level**: 9.75 states/eV/f.u.
**Magnetic moment**: 5.01 μB/f.u.

---

Record 3
The following is a DFT calculation (PBE with a Hubbard U) of TiV3Cr2P6O24 after structural relaxation.

abc: 8.5756 8.5756 8.5756
angles: 60.44 60.44 60.44
Last column: nearest neighbours and their distance in Å.
Fractional positions:
Ti1 0.0000 0.0000 0.0000  6 O 1.88-2.06
V1 0.2113 0.2113 0.2113  6 O 1.98-2.06
V2 0.4972 0.4972 0.4972  6 O 1.97-2.11
V3 0.7108 0.7108 0.7108  6 O 1.96-2.05
Cr1 0.3529 0.3529 0.3529  6 O 2.16
Cr2 0.8550 0.8550 0.8550  6 O 2.19-2.21
P1 0.1045 0.3998 0.8089  4 O 1.51-1.56
P2 0.3098 0.8985 0.6049  4 O 1.52-1.58
P3 0.3998 0.8089 0.1045  4 O 1.51-1.56
P4 0.6049 0.3098 0.8985  4 O 1.52-1.58
P5 0.8089 0.1045 0.3998  4 O 1.51-1.56
P6 0.8985 0.6049 0.3098  4 O 1.52-1.58
O1 0.0334 0.2392 0.8614  1 P 1.56
O2 0.0979 0.4445 0.2933  1 P 1.57
O3 0.1096 0.9199 0.7662  1 P 1.58
O4 0.1714 0.3607 0.9622  1 P 1.51
O5 0.2392 0.8614 0.0334  1 P 1.56
O6 0.2629 0.4058 0.6110  1 P 1.56
O7 0.2933 0.0979 0.4445  1 P 1.57
O8 0.3453 0.7418 0.5439  1 P 1.52
O9 0.3607 0.9622 0.1714  1 P 1.51
O10 0.4058 0.6110 0.2629  1 P 1.56
O11 0.4445 0.2933 0.0979  1 P 1.57
O12 0.4647 0.8594 0.6710  1 P 1.52
O13 0.5439 0.3453 0.7418  1 P 1.52
O14 0.5977 0.7895 0.9451  1 P 1.56
O15 0.6110 0.2629 0.4058  1 P 1.56
O16 0.6710 0.4647 0.8594  1 P 1.52
O17 0.7418 0.5439 0.3453  1 P 1.52
O18 0.7662 0.1096 0.9199  1 P 1.58
O19 0.7895 0.9451 0.5977  1 P 1.56
O20 0.8594 0.6710 0.4647  1 P 1.52
O21 0.8614 0.0334 0.2392  1 P 1.56
O22 0.9199 0.7662 0.1096  1 P 1.58
O23 0.9451 0.5977 0.7895  1 P 1.56
O24 0.9622 0.1714 0.3607  1 P 1.51

Calculated values
**Total energy**: -7.658 eV/atom
**Density of states at the Fermi level**: 13.43 states/eV/f.u.
**Magnetic moment**: 13.00 μB/f.u.

---

Record 4
The following is a DFT calculation (PBE with a Hubbard U) of Ti3V2CrP6O24 after structural relaxation.

abc: 8.6025 8.6025 8.6025
angles: 60.31 60.31 60.31
Last column: nearest neighbours and their distance in Å.
Fractional positions:
Ti1 0.0000 0.0000 0.0000  6 O 1.91-2.06
Ti2 0.2106 0.2106 0.2106  6 O 1.92-2.07
Ti3 0.7099 0.7099 0.7099  6 O 1.90-2.08
V1 0.3539 0.3539 0.3539  6 O 2.22
V2 0.8557 0.8557 0.8557  6 O 2.23
Cr1 0.4967 0.4967 0.4967  6 O 1.95-2.05
P1 0.1059 0.8107 0.3992  4 O 1.54-1.56
P2 0.3118 0.6046 0.8945  4 O 1.51-1.56
P3 0.3992 0.1059 0.8107  4 O 1.54-1.56
P4 0.6046 0.8945 0.3118  4 O 1.51-1.56
P5 0.8107 0.3992 0.1059  4 O 1.54-1.56
P6 0.8945 0.3118 0.6046  4 O 1.51-1.56
O1 0.0391 0.8564 0.2404  1 P 1.54
O2 0.0905 0.2992 0.4421  1 P 1.56
O3 0.1164 0.7676 0.9166  1 P 1.56
O4 0.1698 0.9703 0.3557  1 P 1.54
O5 0.2404 0.0391 0.8564  1 P 1.54
O6 0.2665 0.6160 0.4114  1 P 1.55
O7 0.2992 0.4421 0.0905  1 P 1.56
O8 0.3468 0.5452 0.7382  1 P 1.51
O9 0.3557 0.1698 0.9703  1 P 1.54
O10 0.4114 0.2665 0.6160  1 P 1.55
O11 0.4421 0.0905 0.2992  1 P 1.56
O12 0.4717 0.6693 0.8526  1 P 1.55
O13 0.5452 0.7382 0.3468  1 P 1.51
O14 0.5933 0.9423 0.7976  1 P 1.56
O15 0.6160 0.4114 0.2665  1 P 1.55
O16 0.6693 0.8526 0.4717  1 P 1.55
O17 0.7382 0.3468 0.5452  1 P 1.51
O18 0.7676 0.9166 0.1164  1 P 1.56
O19 0.7976 0.5933 0.9423  1 P 1.56
O20 0.8526 0.4717 0.6693  1 P 1.55
O21 0.8564 0.2404 0.0391  1 P 1.54
O22 0.9166 0.1164 0.7676  1 P 1.56
O23 0.9423 0.7976 0.5933  1 P 1.56
O24 0.9703 0.3557 0.1698  1 P 1.54

Calculated values
**Total energy**: -7.877 eV/atom
**Density of states at the Fermi level**: 5.45 states/eV/f.u.
**Magnetic moment**: 10.03 μB/f.u.

---

Record 5
The following is a DFT calculation (PBE with a Hubbard U) of TiZnCrP3O12 after structural relaxation.

abc: 8.5364 8.5364 8.5364
angles: 60.52 60.52 60.52
Last column: nearest neighbours and their distance in Å.
Fractional positions:
Ti1 0.0000 0.0000 0.0000  6 O 1.88-2.07
Ti2 0.5000 0.5000 0.5000  6 O 1.88-2.07
Zn1 0.1457 0.1457 0.1457  6 O 2.18-2.19
Zn2 0.6457 0.6457 0.6457  6 O 2.18-2.19
Cr1 0.2861 0.2861 0.2861  6 O 1.95-2.02
Cr2 0.7861 0.7861 0.7861  6 O 1.95-2.02
P1 0.1002 0.3930 0.6869  4 O 1.51-1.57
P2 0.1869 0.8930 0.6002  4 O 1.51-1.57
P3 0.3930 0.6869 0.1002  4 O 1.51-1.57
P4 0.6002 0.1869 0.8930  4 O 1.51-1.57
P5 0.6869 0.1002 0.3930  4 O 1.51-1.57
P6 0.8930 0.6002 0.1869  4 O 1.51-1.57
O1 0.0327 0.8265 0.6402  1 P 1.51
O2 0.0544 0.4037 0.2056  1 P 1.55
O3 0.0900 0.2308 0.8850  1 P 1.57
O4 0.1402 0.3265 0.5327  1 P 1.51
O5 0.1411 0.9585 0.7638  1 P 1.56
O6 0.2056 0.0544 0.4037  1 P 1.55
O7 0.2308 0.8850 0.0900  1 P 1.57
O8 0.2638 0.4585 0.6411  1 P 1.56
O9 0.3265 0.5327 0.1402  1 P 1.51
O10 0.3850 0.7308 0.5900  1 P 1.57
O11 0.4037 0.2056 0.0544  1 P 1.55
O12 0.4585 0.6411 0.2638  1 P 1.56
O13 0.5327 0.1402 0.3265  1 P 1.51
O14 0.5544 0.7056 0.9037  1 P 1.55
O15 0.5900 0.3850 0.7308  1 P 1.57
O16 0.6402 0.0327 0.8265  1 P 1.51
O17 0.6411 0.2638 0.4585  1 P 1.56
O18 0.7056 0.9037 0.5544  1 P 1.55
O19 0.7308 0.5900 0.3850  1 P 1.57
O20 0.7638 0.1411 0.9585  1 P 1.56
O21 0.8265 0.6402 0.0327  1 P 1.51
O22 0.8850 0.0900 0.2308  1 P 1.57
O23 0.9037 0.5544 0.7056  1 P 1.55
O24 0.9585 0.7638 0.1411  1 P 1.56

Calculated values
**Total energy**: -7.387 eV/atom
**Density of states at the Fermi level**: 0.00 states/eV/f.u.
**Magnetic moment**: 2.99 μB/f.u.

---

Record 6
The following is a DFT calculation (PBE with a Hubbard U) of Tl3CrP2O8 after structural relaxation.

abc: 5.3880 5.3880 8.4549
angles: 90.00 90.00 120.00
Last column: nearest neighbours and their distance in Å.
Fractional positions:
Tl1 0.0000 0.0000 0.0000  12 O 3.27-3.45, 6 Tl 3.60
Tl2 0.3333 0.6667 0.7865  7 O 2.82-2.96
Tl3 0.6667 0.3333 0.2135  7 O 2.82-2.96
Cr1 0.0000 0.0000 0.5000  6 O 2.02
P1 0.3333 0.6667 0.3035  4 O 1.55-1.56
P2 0.6667 0.3333 0.6965  4 O 1.55-1.56
O1 0.1745 0.3490 0.3595  1 P 1.56
O2 0.1745 0.8255 0.3595  1 P 1.56
O3 0.3333 0.6667 0.1204  1 P 1.55
O4 0.3490 0.1745 0.6405  1 P 1.56
O5 0.6510 0.8255 0.3595  1 P 1.56
O6 0.6667 0.3333 0.8796  1 P 1.55
O7 0.8255 0.1745 0.6405  1 P 1.56
O8 0.8255 0.6510 0.6405  1 P 1.56

Calculated values
**Total energy**: -6.404 eV/atom
**Density of states at the Fermi level**: 0.00 states/eV/f.u.
**Magnetic moment**: 2.93 μB/f.u.

---

Record 7
The following is a DFT calculation (PBE with a Hubbard U) of TlCrPO4 after structural relaxation.

abc: 5.4049 5.6619 7.5961
angles: 90.00 106.96 90.00
Last column: nearest neighbours and their distance in Å.
Fractional positions:
Tl1 0.1953 0.2500 0.4075  5 O 2.68-2.99
Tl2 0.8047 0.7500 0.5925  5 O 2.68-2.99
Cr1 0.2648 0.2500 0.9509  4 O 2.07-2.31
Cr2 0.7352 0.7500 0.0491  4 O 2.07-2.31
P1 0.2591 0.7500 0.1482  4 O 1.56-1.57
P2 0.7409 0.2500 0.8518  4 O 1.56-1.57
O1 0.0556 0.7500 0.9529  1 P 1.57
O2 0.0865 0.7500 0.2821  1 P 1.57
O3 0.4406 0.5311 0.1725  1 P 1.56
O4 0.4406 0.9689 0.1725  1 P 1.56
O5 0.5594 0.0311 0.8275  1 P 1.56
O6 0.5594 0.4689 0.8275  1 P 1.56
O7 0.9135 0.2500 0.7179  1 P 1.57
O8 0.9444 0.2500 0.0471  1 P 1.57

Calculated values
**Total energy**: -6.793 eV/atom
**Density of states at the Fermi level**: 0.00 states/eV/f.u.
**Magnetic moment**: 4.00 μB/f.u.

---

Record 8
The following is a DFT calculation (PBE with a Hubbard U) of TlCrPO2 after structural relaxation.

abc: 3.7946 3.7946 5.2611
angles: 90.00 90.00 90.00
Last column: nearest neighbours and their distance in Å.
Fractional positions:
Tl1 0.0000 0.0000 0.0000  4 P 2.68
Cr1 0.5000 0.5000 0.5000  4 O 1.90
P1 0.5000 0.5000 0.0000  2 Cr 2.63, 4 Tl 2.68
O1 0.0000 0.5000 0.5000  2 Cr 1.90
O2 0.5000 0.0000 0.5000  2 Cr 1.90

Calculated values
**Density of states at the Fermi level**: 1.45 states/eV/f.u.
**Distance to the lowest polymorph of the same formula**: 0.000 eV/atom
**Magnetic moment**: 1.63 μB/f.u.